# 1
Computed, not measured: La3Er at its PBEsol-relaxed geometry at the meta-GGA SCAN level of DFT.

Cell: 5.0668 5.0668 10.1760 Å, 90.00 90.00 90.00°
Space group I4/mmm (No. 139)
Symmetry-distinct sites (fractional):
La: 0.0000 0.0000 0.0000 x2
La: 0.0000 0.5000 0.2500 x4
Er: 0.0000 0.0000 0.5000 x2

Results
As for the energy: -44.8930 eV per atom. The density comes out at 7.42 g/cm3. The crystal system is tetragonal. Its volume is 32.7 A^3/atom. For the spin magnetization, the calculation gives 0.000 μB per atom.

# 2
Computed, not measured: Y3Co at its PBEsol-relaxed geometry at the meta-GGA SCAN level of DFT.

Cell: 3.9756 4.7893 5.2459 Å, 90.00 90.00 90.00°
Space group Pmm2 (No. 25)
Symmetry-distinct sites (fractional):
Y: 0.0000 0.0000 0.0000 x1
Y: 0.0000 0.5000 0.4972 x1
Y: 0.5000 0.0000 0.4691 x1
Co: 0.5000 0.5000 0.1427 x1

Results
As for the energy: -24.8843 eV per atom. The density comes out at 5.41 g/cm3. The crystal system is orthorhombic. Its volume is 25.0 A^3/atom. For the spin magnetization, the calculation gives 0.000 μB per atom.

# 3
Computed, not measured: NaTlI2 at its PBEsol-relaxed geometry at the meta-GGA SCAN level of DFT.

Cell: 7.4314 7.4314 14.4812 Å, 90.00 90.00 90.00°
Space group I-42d (No. 122)
Symmetry-distinct sites (fractional):
Na: 0.0000 0.0000 0.0000 x4
Tl: 0.0000 0.0000 0.5000 x4
I: 0.2170 0.2500 0.1250 x8

Results
The density comes out at 4.00 g/cm3. The crystal system is tetragonal. The value obtained for the formation energy (no corrections) is -0.920 eV per atom. Its volume is 50.0 A^3/atom. For the spin magnetization, the calculation gives 0.000 μB per atom.

# 4
Computed, not measured: NiP2Au2 at its PBEsol-relaxed geometry at the meta-GGA SCAN level of DFT.

Cell: 5.6049 5.6049 4.9009 Å, 90.00 90.00 90.00°
Space group P4/mbm (No. 127)
Symmetry-distinct sites (fractional):
Ni: 0.0000 0.0000 0.0000 x2
P: 0.1403 0.3597 0.0000 x4
Au: 0.1787 0.3213 0.5000 x4

Results
As for the energy: -35.2467 eV per atom. The density comes out at 11.10 g/cm3. The crystal system is tetragonal. Its volume is 15.4 A^3/atom. For the spin magnetization, the calculation gives 0.000 μB per atom.

# 5
Computed, not measured: Li2CoIr at its PBEsol-relaxed geometry at the meta-GGA SCAN level of DFT.

Cell: 2.6096 4.2460 8.6644 Å, 90.00 90.00 90.00°
Space group Immm (No. 71)
Symmetry-distinct sites (fractional):
Li: 0.0000 0.0000 0.2416 x4
Co: 0.0000 0.5000 0.5000 x2
Ir: 0.0000 0.5000 0.0000 x2

Results
As for the energy: -23.4563 eV per atom. The density comes out at 9.17 g/cm3. The crystal system is orthorhombic. Its volume is 12.0 A^3/atom. For the spin magnetization, the calculation gives 0.472 μB per atom.

# 6
Computed, not measured: Ba2MoP at its PBEsol-relaxed geometry at the meta-GGA SCAN level of DFT.

Cell: 11.6675 3.6937 5.6166 Å, 90.00 112.25 90.00°
Space group Cm (No. 8)
Symmetry-distinct sites (fractional):
Ba: 0.0000 0.0000 0.0000 x2
Ba: 0.1862 0.0000 0.6492 x2
Mo: 0.3083 0.5000 0.2723 x2
P: 0.4296 0.0000 0.4644 x2

Results
As for the energy: -31.0919 eV per atom. The density comes out at 5.95 g/cm3. The crystal system is monoclinic. Its volume is 28.0 A^3/atom. For the spin magnetization, the calculation gives 0.398 μB per atom.

# 7
Computed, not measured: BiSeN2F at its PBEsol-relaxed geometry at the meta-GGA SCAN level of DFT.

Cell: 4.0718 4.0718 3.9910 Å, 90.00 90.00 90.00°
Space group P4/mmm (No. 123)
Symmetry-distinct sites (fractional):
Bi: 0.0000 0.0000 0.0000 x1
Se: 0.5000 0.5000 0.5000 x1
N: 0.0000 0.5000 0.5000 x2
F: 0.5000 0.5000 0.0000 x1

Results
The density comes out at 8.41 g/cm3. The crystal system is tetragonal. The value obtained for the formation energy (no corrections) is 0.747 eV per atom. Its volume is 13.2 A^3/atom. For the spin magnetization, the calculation gives 0.000 μB per atom.

# 8
Computed, not measured: CaSc2Ta at its PBEsol-relaxed geometry at the meta-GGA SCAN level of DFT.

Cell: 3.2103 5.2303 5.4898 Å, 90.00 90.00 90.00°
Space group Pmmm (No. 47)
Symmetry-distinct sites (fractional):
Ca: 0.0000 0.0000 0.0000 x1
Sc: 0.0000 0.5000 0.5000 x1
Sc: 0.5000 0.5000 0.0000 x1
Ta: 0.5000 0.0000 0.5000 x1

Results
As for the energy: -25.5165 eV per atom. The density comes out at 5.60 g/cm3. The crystal system is orthorhombic. Its volume is 23.0 A^3/atom. For the spin magnetization, the calculation gives 0.000 μB per atom.

- Which formula does entry 8 have?
  CaSc2Ta